Entry 1:
Here is a relaxed Cs3Pm3DySe8 crystal from Alexandria via LeMat-Bulk. Energies are from PBE-GGA.

**Symmetry**: R-3m
**Uncorrected formation energy**: -160.37 kJ/mol of atoms
**Crystal system**: trigonal

Lattice parameters (Å, degrees): 8.576 8.580 9.900 115.73 90.00 119.98
Fractional coordinates of all 15 atoms:
Cs 0.000 0.000 0.000
Se 0.225 0.960 0.685
Se 0.225 0.450 0.685
Se 0.270 0.540 0.310
Cs 0.000 0.500 0.000
Se 0.265 0.040 0.315
Se 0.735 0.960 0.685
Pm 0.500 0.500 0.500
Cs 0.500 0.500 0.000
Se 0.775 0.040 0.315
Se 0.730 0.460 0.690
Pm 0.500 0.000 0.500
Pm 0.000 0.500 0.500
Dy 0.000 0.000 0.500
Se 0.775 0.550 0.315

***

Entry 2:
Here is a relaxed NdLuSn crystal from Alexandria via LeMat-Bulk. Energies are from PBE-GGA.

**Formation energy from the elements**: 133 meV/atom
**Symmetry**: I4mm
**Distance to the lowest polymorph of the same formula**: 515 meV per atom
**Crystal system**: tetragonal

Lattice parameters (Å, degrees): 3.341 3.341 9.000 100.70 100.70 90.00
Fractional coordinates of all 3 atoms:
Lu 0.760 0.760 0.520
Sn 0.136 0.136 0.272
Nd 0.954 0.954 0.909

***

Entry 3:
Here is a relaxed YOs2Br crystal from Alexandria via LeMat-Bulk. Energies are from PBE-GGA.

**Symmetry**: Fm-3m
**Distance to the lowest polymorph of the same formula**: 1192 meV per atom
**Uncorrected formation energy**: 108.94 kJ/mol of atoms
**Crystal system**: cubic

Lattice parameters (Å, degrees): 4.709 4.709 4.709 60.00 60.00 60.00
Fractional coordinates of all 4 atoms:
Y 0.500 0.500 0.500
Os 0.250 0.250 0.250
Os 0.750 0.750 0.750
Br 0.000 0.000 0.000

***

Entry 4:
Here is a relaxed TbCe2N3 crystal from Alexandria via LeMat-Bulk. Energies are from PBE-GGA.

**Symmetry**: Immm
**Uncorrected formation energy**: -149.45 kJ/mol of atoms
**Crystal system**: orthorhombic

Lattice parameters (Å, degrees): 3.546 5.009 6.140 114.07 106.78 90.00
Fractional coordinates of all 6 atoms:
Ce 0.166 0.166 0.833
N 0.500 0.000 0.500
N 0.833 0.333 0.166
N 0.167 0.667 0.834
Tb 0.500 0.500 0.500
Ce 0.834 0.834 0.167

***

Entry 5:
Here is a relaxed YB2Pb2O6 crystal from Alexandria via LeMat-Bulk. Energies are from PBE-GGA.

**Symmetry**: C2/m
**Uncorrected formation energy**: -211.42 kJ/mol of atoms
**Crystal system**: monoclinic

Lattice parameters (Å, degrees): 5.326 5.589 8.208 116.15 90.00 118.46
Fractional coordinates of all 11 atoms:
O 0.722 0.899 0.676
O 0.278 0.101 0.324
B 0.887 0.775 0.689
O 0.177 0.899 0.676
Pb 0.326 0.652 0.801
O 0.238 0.476 0.278
Y 0.500 0.000 0.500
O 0.762 0.524 0.722
Pb 0.674 0.348 0.199
O 0.823 0.101 0.324
B 0.113 0.225 0.311

***

Entry 6:
Here is a relaxed BTeSeN2 crystal from Alexandria via LeMat-Bulk. Energies are from PBE-GGA.

**Symmetry**: P4/mmm
**Distance to the lowest polymorph of the same formula**: 408 meV per atom
**Uncorrected formation energy**: 198.41 kJ/mol of atoms
**Crystal system**: tetragonal

Lattice parameters (Å, degrees): 3.853 3.853 6.092 90.00 90.00 90.00
Fractional coordinates of all 5 atoms:
N 0.500 0.000 0.000
Te 0.000 0.000 0.000
Se 0.000 0.000 0.500
B 0.500 0.500 0.500
N 0.000 0.500 0.000